## TaBi3Ru (PBE-GGA)

Data for an optimized crystal structure of TaBi3Ru.

Cell: 5.443 5.443 5.443 Å, 90.00 90.00 90.00°
Space group Pm-3m (No. 221)
One atom of each set of equivalent atoms:
Ta1 0.000 0.000 0.000 (multiplicity 1)
Bi1 0.000 0.000 0.500 (multiplicity 3)
Ru1 0.500 0.500 0.500 (multiplicity 1)

Calculated values
Its total energy is -5.228 eV per atom. The energy above the lowest structure with this stoichiometry is 58 meV per atom.

=====

## NbI2N (PBE-GGA)

Data for an optimized crystal structure of NbI2N.

Cell: 6.819 6.819 6.819 Å, 90.00 90.00 90.00°
Space group Fm-3m (No. 225)
One atom of each set of equivalent atoms:
Nb1 0.000 0.000 0.000 (multiplicity 4)
I1 0.250 0.250 0.250 (multiplicity 8)
N1 0.000 0.000 0.500 (multiplicity 4)

Calculated values
As for the uncorrected formation energy: 1360 meV/atom. Its total energy is -4.014 eV per atom. The energy above the lowest structure with this stoichiometry is 0 meV per atom.